(1)
Material: Co2NiSn8
Method: DFT, PBE
State: optimized geometry

The structure belongs to space group C2/m (No. 12); the cell edges are 11.2557, 9.3509 and 5.0297 Å and the angles 90.00°, 91.65° and 90.00°. The distinct sites, in fractional coordinates, are Co at (0.2043, 0.0000, 0.2418), Ni at (0.0000, 0.0000, 0.0000), Sn at (0.0770, 0.5000, 0.7608), Sn at (0.0895, 0.2263, 0.2612) and Sn at (0.2062, 0.0000, 0.7407).


(2)
Material: CoNiSn3
Method: DFT, PBE
State: optimized geometry

The structure belongs to space group Pm-3m (No. 221); the cell edges are 4.8339, 4.8339 and 4.8339 Å and the angles 90.00°, 90.00° and 90.00°. The distinct sites, in fractional coordinates, are Co at (0.0000, 0.0000, 0.0000), Ni at (0.5000, 0.5000, 0.5000) and Sn at (0.0000, 0.0000, 0.5000).

Its relative energy among the computed polymorphs is 425 meV/atom.


Ordered Fermi-level density of states results: 0.638, 1.022; unit states/eV/atom.
Ordered DFT total energy results: -102.03, -22.74; unit eV for the cell shown.